Record 1
SmEuMgCd after structural relaxation. Source: Alexandria, functional PBE-GGA.

a b c (Å): 5.5004 5.5004 5.5004
angles (deg): 60.00 60.00 60.00
Last column: magnetic moment on the atom in μB.
Element x y z (fractional)
Mg1 0.7500 0.7500 0.7500  0.00
Cd1 0.2500 0.2500 0.2500  0.00
Eu1 0.0000 0.0000 0.0000  6.85
Sm1 0.5000 0.5000 0.5000  0.02

Output
**Theoretical density**: 6.196 g/cm³
**ΔH_f (0 K)**: -190 meV/atom
**Total DFT energy (no corrections)**: -18.263 eV/cell



Record 2
EuMgCdSn after structural relaxation. Source: Alexandria, functional PBE-GGA.

a b c (Å): 5.2878 5.2878 5.2878
angles (deg): 60.00 60.00 60.00
Last column: magnetic moment on the atom in μB.
Element x y z (fractional)
Sn1 0.2500 0.2500 0.2500  -0.01
Cd1 0.7500 0.7500 0.7500  0.01
Mg1 0.0000 0.0000 0.0000  0.00
Eu1 0.5000 0.5000 0.5000  6.82

Output
**Theoretical density**: 6.471 g/cm³
**ΔH_f (0 K)**: -393 meV/atom
**Total DFT energy (no corrections)**: -18.360 eV/cell



Record 3
EuThMgCd after structural relaxation. Source: Alexandria, functional PBE-GGA.

a b c (Å): 5.4964 5.4964 5.4964
angles (deg): 60.00 60.00 60.00
Last column: magnetic moment on the atom in μB.
Element x y z (fractional)
Th1 0.0000 0.0000 0.0000  0.27
Cd1 0.7500 0.7500 0.7500  0.01
Mg1 0.2500 0.2500 0.2500  0.00
Eu1 0.5000 0.5000 0.5000  6.90

Output
**Theoretical density**: 7.364 g/cm³
**ΔH_f (0 K)**: -31 meV/atom
**Total DFT energy (no corrections)**: -20.326 eV/cell



Record 4
EuTmMgCd after structural relaxation. Source: Alexandria, functional PBE-GGA.

a b c (Å): 5.4207 5.4207 5.4207
angles (deg): 60.00 60.00 60.00
Last column: magnetic moment on the atom in μB.
Element x y z (fractional)
Cd1 0.0000 0.0000 0.0000  0.00
Tm1 0.7500 0.7500 0.7500  -0.02
Mg1 0.5000 0.5000 0.5000  0.00
Eu1 0.2500 0.2500 0.2500  -6.84

Output
**Theoretical density**: 6.747 g/cm³
**ΔH_f (0 K)**: -160 meV/atom
**Total DFT energy (no corrections)**: -17.897 eV/cell



Record 5
EuMgZnCd after structural relaxation. Source: Alexandria, functional PBE-GGA.

a b c (Å): 5.1182 5.1182 5.1182
angles (deg): 60.00 60.00 60.00
Last column: magnetic moment on the atom in μB.
Element x y z (fractional)
Cd1 0.2500 0.2500 0.2500  0.01
Mg1 0.0000 0.0000 0.0000  0.00
Zn1 0.7500 0.7500 0.7500  0.01
Eu1 0.5000 0.5000 0.5000  6.80

Output
**Theoretical density**: 6.202 g/cm³
**ΔH_f (0 K)**: -238 meV/atom
**Total DFT energy (no corrections)**: -15.011 eV/cell



Record 6
Eu3CdN after structural relaxation. Source: Alexandria, functional PBE-GGA.

a b c (Å): 5.1011 5.1011 5.1011
angles (deg): 90.00 90.00 90.00
Last column: magnetic moment on the atom in μB.
Element x y z (fractional)
Eu1 0.5000 0.0000 0.0000  6.85
Cd1 0.5000 0.5000 0.5000  0.06
N1 0.0000 0.0000 0.0000  -0.21
Eu2 0.0000 0.5000 0.0000  6.85
Eu3 0.0000 0.0000 0.5000  6.85

Output
**Theoretical density**: 7.285 g/cm³
**Total DFT energy (no corrections)**: -42.823 eV/cell
**ΔE_f (raw)**: -552 meV/atom



Record 7
Eu2CdN after structural relaxation. Source: Alexandria, functional PBE-GGA.

a b c (Å): 3.6329 3.6329 8.8323
angles (deg): 78.13 78.13 60.00
Last column: magnetic moment on the atom in μB.
Element x y z (fractional)
Eu1 0.7206 0.7206 0.8381  6.82
Eu2 0.2794 0.2794 0.1619  6.82
Cd1 0.5000 0.5000 0.5000  0.03
N1 0.0000 0.0000 0.0000  -0.16

Output
**Theoretical density**: 7.287 g/cm³
**Total DFT energy (no corrections)**: -32.324 eV/cell
**ΔE_f (raw)**: -634 meV/atom



Record 8
Eu2CdN after structural relaxation. Source: Alexandria, functional PBE-GGA.

a b c (Å): 3.2283 3.2283 8.3348
angles (deg): 90.00 90.00 90.00
Last column: magnetic moment on the atom in μB.
Element x y z (fractional)
N1 0.5000 0.5000 0.0000  -0.16
Eu1 0.0000 0.0000 0.1692  6.84
Cd1 0.5000 0.5000 0.5000  0.01
Eu2 0.0000 0.0000 0.8308  6.84

Output
**Theoretical density**: 8.226 g/cm³
**Total DFT energy (no corrections)**: -31.301 eV/cell
**ΔE_f (raw)**: -378 meV/atom



Record 9
NaEu2Cd after structural relaxation. Source: Alexandria, functional PBE-GGA.

a b c (Å): 4.1906 5.7142 5.7142
angles (deg): 90.00 90.00 90.00
Last column: magnetic moment on the atom in μB.
Element x y z (fractional)
Eu1 0.0000 0.0000 0.5000  6.99
Cd1 0.5000 0.0000 0.0000  0.02
Eu2 0.0000 0.5000 0.0000  6.99
Na1 0.5000 0.5000 0.5000  0.02

Output
**Theoretical density**: 5.332 g/cm³
**ΔH_f (0 K)**: -102 meV/atom
**Total DFT energy (no corrections)**: -23.193 eV/cell



Record 10
NaEuCd4 after structural relaxation. Source: Alexandria, functional PBE-GGA.

a b c (Å): 6.0503 6.0503 6.0503
angles (deg): 60.00 60.00 60.00
Last column: magnetic moment on the atom in μB.
Element x y z (fractional)
Eu1 0.2500 0.2500 0.2500  -6.91
Cd1 0.6252 0.6252 0.6252  -0.01
Cd2 0.6252 0.6252 0.1243  -0.01
Cd3 0.6252 0.1243 0.6252  -0.01
Cd4 0.1243 0.6252 0.6252  -0.01
Na1 0.0000 0.0000 0.0000  0.00

Output
**Theoretical density**: 6.623 g/cm³
**ΔH_f (0 K)**: -215 meV/atom
**Total DFT energy (no corrections)**: -16.541 eV/cell



Record 11
NaEuCd after structural relaxation. Source: Alexandria, functional PBE-GGA.

a b c (Å): 4.0392 4.0392 6.5088
angles (deg): 108.08 108.08 90.00
Last column: magnetic moment on the atom in μB.
Element x y z (fractional)
Na1 0.5955 0.5955 0.1910  0.00
Cd1 0.9564 0.9564 0.9128  0.00
Eu1 0.2981 0.2981 0.5962  6.95

Output
**Theoretical density**: 5.001 g/cm³
**ΔH_f (0 K)**: -109 meV/atom
**Total DFT energy (no corrections)**: -12.835 eV/cell



Record 12
NaEu2Cd after structural relaxation. Source: Alexandria, functional PBE-GGA.

a b c (Å): 3.9957 3.9957 8.9031
angles (deg): 90.00 90.00 90.00
Last column: magnetic moment on the atom in μB.
Element x y z (fractional)
Cd1 0.5000 0.5000 0.0000  0.01
Na1 0.5000 0.5000 0.5000  0.00
Eu1 0.0000 0.0000 0.2107  6.94
Eu2 0.0000 0.0000 0.7893  6.94

Output
**Theoretical density**: 5.132 g/cm³
**ΔH_f (0 K)**: -148 meV/atom
**Total DFT energy (no corrections)**: -23.373 eV/cell



Record 13
Na2EuCd after structural relaxation. Source: Alexandria, functional PBE-GGA.

a b c (Å): 3.6210 3.6210 12.4308
angles (deg): 81.63 81.63 60.00
Last column: magnetic moment on the atom in μB.
Element x y z (fractional)
Eu1 0.0000 0.0000 0.0000  7.12
Na1 0.0975 0.0975 0.7075  0.00
Na2 0.9025 0.9025 0.2925  0.00
Cd1 0.5000 0.5000 0.5000  0.00

Output
**Theoretical density**: 3.704 g/cm³
**ΔH_f (0 K)**: 115 meV/atom
**Total DFT energy (no corrections)**: -13.367 eV/cell



Record 14
NaEu2Cd after structural relaxation. Source: Alexandria, functional PBE-GGA.

a b c (Å): 5.7721 5.7721 5.7721
angles (deg): 60.00 60.00 60.00
Last column: magnetic moment on the atom in μB.
Element x y z (fractional)
Cd1 0.5000 0.5000 0.5000  0.03
Eu1 0.7500 0.7500 0.7500  6.97
Na1 0.0000 0.0000 0.0000  0.01
Eu2 0.2500 0.2500 0.2500  6.97

Output
**Theoretical density**: 5.365 g/cm³
**ΔH_f (0 K)**: -106 meV/atom
**Total DFT energy (no corrections)**: -23.209 eV/cell



Record 15
Na2EuCd after structural relaxation. Source: Alexandria, functional PBE-GGA.

a b c (Å): 5.6124 5.6124 5.6124
angles (deg): 60.00 60.00 60.00
Last column: magnetic moment on the atom in μB.
Element x y z (fractional)
Cd1 0.5000 0.5000 0.5000  -0.01
Na1 0.7500 0.7500 0.7500  -0.01
Na2 0.2500 0.2500 0.2500  -0.01
Eu1 0.0000 0.0000 0.0000  -7.03

Output
**Theoretical density**: 4.123 g/cm³
**ΔH_f (0 K)**: 30 meV/atom
**Total DFT energy (no corrections)**: -13.708 eV/cell



Record 16
Na2EuCd after structural relaxation. Source: Alexandria, functional PBE-GGA.

a b c (Å): 5.7105 4.8475 4.8475
angles (deg): 90.00 90.00 90.00
Last column: magnetic moment on the atom in μB.
Element x y z (fractional)
Na1 0.0000 0.5000 0.0000  -0.01
Cd1 0.5000 0.5000 0.5000  -0.01
Eu1 0.5000 0.0000 0.0000  -6.97
Na2 0.0000 0.0000 0.5000  -0.01

Output
**Theoretical density**: 3.841 g/cm³
**ΔH_f (0 K)**: -36 meV/atom
**Total DFT energy (no corrections)**: -13.970 eV/cell



Record 17
Na2EuCd after structural relaxation. Source: Alexandria, functional PBE-GGA.

a b c (Å): 4.0656 4.0656 8.0454
angles (deg): 90.00 90.00 90.00
Last column: magnetic moment on the atom in μB.
Element x y z (fractional)
Na1 0.0000 0.0000 0.7997  0.01
Cd1 0.5000 0.5000 0.0000  0.00
Na2 0.0000 0.0000 0.2003  0.01
Eu1 0.5000 0.5000 0.5000  7.03

Output
**Theoretical density**: 3.875 g/cm³
**ΔH_f (0 K)**: 18 meV/atom
**Total DFT energy (no corrections)**: -13.754 eV/cell



Record 18
NaEuCd after structural relaxation. Source: Alexandria, functional PBE-GGA.

a b c (Å): 3.6989 5.4361 5.4361
angles (deg): 120.00 90.00 90.00
Last column: magnetic moment on the atom in μB.
Element x y z (fractional)
Na1 0.8366 0.3333 0.6667  0.01
Cd1 0.8303 0.6667 0.3333  0.02
Eu1 0.3332 0.0000 0.0000  7.01

Output
**Theoretical density**: 5.041 g/cm³
**ΔH_f (0 K)**: -90 meV/atom
**Total DFT energy (no corrections)**: -12.778 eV/cell



Record 19
NaEuCdP after structural relaxation. Source: Alexandria, functional PBE-GGA.

a b c (Å): 5.1672 5.1672 5.1672
angles (deg): 60.00 60.00 60.00
Last column: magnetic moment on the atom in μB.
Element x y z (fractional)
Cd1 0.0000 0.0000 0.0000  0.01
Eu1 0.7500 0.7500 0.7500  6.84
Na1 0.2500 0.2500 0.2500  0.01
P1 0.5000 0.5000 0.5000  -0.07

Output
**Theoretical density**: 5.419 g/cm³
**ΔH_f (0 K)**: -436 meV/atom
**Total DFT energy (no corrections)**: -19.663 eV/cell



Record 20
NaEuCdPb after structural relaxation. Source: Alexandria, functional PBE-GGA.

a b c (Å): 5.4628 5.4628 5.4628
angles (deg): 60.00 60.00 60.00
Last column: magnetic moment on the atom in μB.
Element x y z (fractional)
Eu1 0.0000 0.0000 0.0000  6.82
Na1 0.5000 0.5000 0.5000  0.00
Cd1 0.7500 0.7500 0.7500  0.00
Pb1 0.2500 0.2500 0.2500  -0.02

Output
**Theoretical density**: 7.124 g/cm³
**ΔH_f (0 K)**: -303 meV/atom
**Total DFT energy (no corrections)**: -17.431 eV/cell



Record 21
NaPmEuCd after structural relaxation. Source: Alexandria, functional PBE-GGA.

a b c (Å): 5.6215 5.6215 5.6215
angles (deg): 60.00 60.00 60.00
Last column: magnetic moment on the atom in μB.
Element x y z (fractional)
Cd1 0.5000 0.5000 0.5000  0.00
Pm1 0.7500 0.7500 0.7500  -0.06
Na1 0.0000 0.0000 0.0000  0.00
Eu1 0.2500 0.2500 0.2500  -6.89

Output
**Theoretical density**: 5.715 g/cm³
**ΔH_f (0 K)**: -20 meV/atom
**Total DFT energy (no corrections)**: -17.338 eV/cell



Record 22
NaPrEuCd after structural relaxation. Source: Alexandria, functional PBE-GGA.

a b c (Å): 5.6610 5.6610 5.6610
angles (deg): 60.00 60.00 60.00
Last column: magnetic moment on the atom in μB.
Element x y z (fractional)
Eu1 0.5000 0.5000 0.5000  -6.90
Pr1 0.0000 0.0000 0.0000  -0.06
Na1 0.7500 0.7500 0.7500  0.00
Cd1 0.2500 0.2500 0.2500  0.00

Output
**Theoretical density**: 5.544 g/cm³
**ΔH_f (0 K)**: -34 meV/atom
**Total DFT energy (no corrections)**: -17.426 eV/cell



Record 23
NaEuCdSb after structural relaxation. Source: Alexandria, functional PBE-GGA.

a b c (Å): 5.4506 5.4506 5.4506
angles (deg): 60.00 60.00 60.00
Last column: magnetic moment on the atom in μB.
Element x y z (fractional)
Na1 0.0000 0.0000 0.0000  0.00
Cd1 0.7500 0.7500 0.7500  0.00
Eu1 0.5000 0.5000 0.5000  6.86
Sb1 0.2500 0.2500 0.2500  -0.05

Output
**Theoretical density**: 5.933 g/cm³
**Total DFT energy (no corrections)**: -18.805 eV/cell
**ΔE_f (raw)**: -543 meV/atom



Record 24
NaEuCdSi after structural relaxation. Source: Alexandria, functional PBE-GGA.

a b c (Å): 5.1889 5.1889 5.1889
angles (deg): 60.00 60.00 60.00
Last column: magnetic moment on the atom in μB.
Element x y z (fractional)
Eu1 0.0000 0.0000 0.0000  6.76
Si1 0.7500 0.7500 0.7500  -0.03
Cd1 0.2500 0.2500 0.2500  0.00
Na1 0.5000 0.5000 0.5000  0.00

Output
**Theoretical density**: 5.302 g/cm³
**Total DFT energy (no corrections)**: -18.454 eV/cell
**ΔE_f (raw)**: -131 meV/atom



Record 25
NaEuCdSn after structural relaxation. Source: Alexandria, functional PBE-GGA.

a b c (Å): 5.4029 5.4029 5.4029
angles (deg): 60.00 60.00 60.00
Last column: magnetic moment on the atom in μB.
Element x y z (fractional)
Sn1 0.0000 0.0000 0.0000  -0.02
Cd1 0.5000 0.5000 0.5000  0.00
Eu1 0.2500 0.2500 0.2500  6.80
Na1 0.7500 0.7500 0.7500  0.00

Output
**Theoretical density**: 6.046 g/cm³
**ΔH_f (0 K)**: -349 meV/atom
**Total DFT energy (no corrections)**: -17.907 eV/cell



Record 26
NaTbEuCd after structural relaxation. Source: Alexandria, functional PBE-GGA.

a b c (Å): 5.5665 5.5665 5.5665
angles (deg): 60.00 60.00 60.00
Last column: magnetic moment on the atom in μB.
Element x y z (fractional)
Na1 0.2500 0.2500 0.2500  0.00
Eu1 0.0000 0.0000 0.0000  6.89
Tb1 0.5000 0.5000 0.5000  0.07
Cd1 0.7500 0.7500 0.7500  0.01

Output
**Theoretical density**: 6.076 g/cm³
**ΔH_f (0 K)**: 2 meV/atom
**Total DFT energy (no corrections)**: -17.130 eV/cell



Record 27
NaEuTlCd after structural relaxation. Source: Alexandria, functional PBE-GGA.

a b c (Å): 5.4574 5.4574 5.4574
angles (deg): 60.00 60.00 60.00
Last column: magnetic moment on the atom in μB.
Element x y z (fractional)
Na1 0.0000 0.0000 0.0000  0.00
Eu1 0.5000 0.5000 0.5000  6.88
Cd1 0.7500 0.7500 0.7500  0.01
Tl1 0.2500 0.2500 0.2500  0.04

Output
**Theoretical density**: 7.105 g/cm³
**ΔH_f (0 K)**: -226 meV/atom
**Total DFT energy (no corrections)**: -15.778 eV/cell



Record 28
NaEuTmCd after structural relaxation. Source: Alexandria, functional PBE-GGA.

a b c (Å): 5.5241 5.5241 5.5241
angles (deg): 60.00 60.00 60.00
Last column: magnetic moment on the atom in μB.
Element x y z (fractional)
Cd1 0.7500 0.7500 0.7500  0.01
Tm1 0.0000 0.0000 0.0000  0.08
Eu1 0.5000 0.5000 0.5000  6.88
Na1 0.2500 0.2500 0.2500  0.01

Output
**Theoretical density**: 6.357 g/cm³
**ΔH_f (0 K)**: 21 meV/atom
**Total DFT energy (no corrections)**: -16.897 eV/cell



Record 29
NdEuCd2 after structural relaxation. Source: Alexandria, functional PBE-GGA.

a b c (Å): 5.4998 5.4998 5.4998
angles (deg): 60.00 60.00 60.00
Last column: magnetic moment on the atom in μB.
Element x y z (fractional)
Cd1 0.2500 0.2500 0.2500  0.00
Cd2 0.7500 0.7500 0.7500  0.00
Eu1 0.5000 0.5000 0.5000  6.84
Nd1 0.0000 0.0000 0.0000  -0.01

Output
**Theoretical density**: 7.355 g/cm³
**ΔH_f (0 K)**: -330 meV/atom
**Total DFT energy (no corrections)**: -18.193 eV/cell



Record 30
NdEuCd2 after structural relaxation. Source: Alexandria, functional PBE-GGA.

a b c (Å): 3.9091 5.4899 5.4899
angles (deg): 90.00 90.00 90.00
Last column: magnetic moment on the atom in μB.
Element x y z (fractional)
Nd1 0.5000 0.0000 0.0000  -0.02
Eu1 0.5000 0.5000 0.5000  6.91
Cd1 0.0000 0.0000 0.5000  0.01
Cd2 0.0000 0.5000 0.0000  0.01

Output
**Theoretical density**: 7.344 g/cm³
**ΔH_f (0 K)**: -341 meV/atom
**Total DFT energy (no corrections)**: -18.235 eV/cell



Record 31
Nd2EuCd after structural relaxation. Source: Alexandria, functional PBE-GGA.

a b c (Å): 4.9097 5.0892 5.0892
angles (deg): 90.00 90.00 90.00
Last column: magnetic moment on the atom in μB.
Element x y z (fractional)
Nd1 0.0000 0.5000 0.0000  -0.03
Eu1 0.5000 0.0000 0.0000  -6.86
Cd1 0.5000 0.5000 0.5000  0.01
Nd2 0.0000 0.0000 0.5000  -0.03

Output
**Theoretical density**: 7.220 g/cm³
**ΔH_f (0 K)**: -69 meV/atom
**Total DFT energy (no corrections)**: -21.000 eV/cell